(1)
MnV3H7 | Alexandria via LeMat-Bulk | PBE | relaxed; spin magnetization = 0.1269 μB/atom; mass density = 5.041 Mg/m³; symmetry = Cm, No. 8; raw total energy = -61.7 eV/cell
1.0
2.9399 -2.9173 0.0000
2.9399 2.9173 0.0000
-2.8978 0.0000 4.1250
Mn V H
1 3 7
direct
0.0000 0.0000 0.0000
0.2550 0.7493 0.5034
0.5018 0.5018 0.9948
0.7493 0.2550 0.5034
0.1189 0.6330 0.7558
0.1277 0.1277 0.7572
0.3708 0.3708 0.2445
0.3735 0.8796 0.2469
0.6330 0.1189 0.7558
0.8749 0.8749 0.2396
0.8796 0.3735 0.2469

---

(2)
SrVH | Alexandria via LeMat-Bulk | PBE | relaxed; spin magnetization = 0.0000 μB/atom; mass density = 4.014 Mg/m³; symmetry = Cm, No. 8; raw total energy = -27.1 eV/cell; ΔE to the lowest computed polymorph = 0.0802 eV/atom
1.0
5.2313 -2.8993 0.0000
5.2313 2.8993 0.0000
-1.2411 0.0000 3.8070
Sr V H
2 2 2
direct
0.0000 0.0000 0.0000
0.6760 0.6760 0.1931
0.3072 0.3072 0.7686
0.4016 0.4016 0.4414
0.3351 0.7623 0.5689
0.7623 0.3351 0.5689

---

(3)
Ba2NpPd3O12 | Alexandria via LeMat-Bulk | PBE | relaxed; spin magnetization = 0.0554 μB/atom; mass density = 6.229 Mg/m³; formation energy without anion corrections = -1397 meV/atom; symmetry = R-3m, No. 166; raw total energy = -117.0 eV/cell
1.0
3.5784 2.0660 6.1471
-3.5784 2.0660 6.1471
0.0000 -4.1320 6.1471
Ba Np Pd O
2 1 3 12
direct
0.1033 0.1033 0.1033
0.8967 0.8967 0.8967
0.5000 0.5000 0.5000
0.0000 0.5000 0.5000
0.5000 0.0000 0.5000
0.5000 0.5000 0.0000
0.1636 0.1636 0.6006
0.1636 0.6006 0.1636
0.1682 0.5767 0.5767
0.3994 0.8364 0.8364
0.4233 0.4233 0.8318
0.4233 0.8318 0.4233
0.5767 0.1682 0.5767
0.5767 0.5767 0.1682
0.6006 0.1636 0.1636
0.8318 0.4233 0.4233
0.8364 0.3994 0.8364
0.8364 0.8364 0.3994

---

- Which value of mass density does entry 2 give?
  4.014 Mg/m³